<w>
DFT (GGA-PBE) results for a relaxed Tm2SiNi crystal.

```
4
Lattice="4.014 0.000 0.000 0.000 3.909 0.000 0.000 -1.955 5.197" Properties=species:S:1:pos:R:3 pbc="T T T"
Tm 0.000 1.955 5.023
Tm 2.007 0.000 2.764
Si 0.000 1.955 2.010
Ni 2.007 1.955 0.589
```

spin magnetization: 0.000 μB/atom
symmetry: Amm2


<x>
DFT (GGA-PBE) results for a relaxed Tm2SiNi crystal.

```
4
Lattice="-4.527 0.252 1.604 -2.962 -3.747 -0.562 -1.346 -2.595 3.819" Properties=species:S:1:pos:R:3 pbc="T T T"
Ni 0.000 0.000 0.000
Si -4.417 -3.045 2.430
Tm -2.209 -1.522 1.215
Tm -6.626 -4.567 3.645
```

spin magnetization: 0.000 μB/atom
symmetry: Fm-3m


<y>
DFT (GGA-PBE) results for a relaxed Tm2SiNi crystal.

```
4
Lattice="3.380 0.000 0.000 1.690 2.927 0.000 1.690 0.976 9.070" Properties=species:S:1:pos:R:3 pbc="T T T"
Ni 0.000 0.000 0.000
Si 3.380 1.951 4.535
Tm 1.690 0.976 6.585
Tm 5.070 2.927 2.485
```

spin magnetization: 0.000 μB/atom
symmetry: R-3m


<z>
DFT (GGA-PBE) results for a relaxed Tm2SiNi crystal.

```
4
Lattice="3.592 0.000 0.000 0.000 4.677 0.000 0.000 0.000 4.677" Properties=species:S:1:pos:R:3 pbc="T T T"
Ni 1.796 2.339 2.339
Si 1.796 0.000 0.000
Tm 0.000 0.000 2.339
Tm 0.000 2.339 0.000
```

spin magnetization: 0.000 μB/atom
symmetry: P4/mmm


Which structure is the most stable? The one labeled <w>.


<w>
DFT (GGA-PBE) results for a relaxed TmSi2Ni10 crystal.

```
13
Lattice="-4.785 0.306 0.099 -2.754 -4.343 -3.554 -2.526 -3.373 4.462" Properties=species:S:1:pos:R:3 pbc="T T T"
Tm 0.000 0.000 0.000
Si -1.377 -2.172 -1.777
Si -3.769 -2.019 -1.728
Ni -5.107 -4.920 0.672
Ni -4.958 -2.490 0.335
Ni -7.393 -3.450 1.777
Ni -2.672 -3.960 -0.770
Ni -1.263 -1.686 2.231
Ni -3.655 -1.534 2.280
Ni -2.504 -1.650 0.196
Ni -7.560 -5.760 0.811
Ni -5.093 -3.938 -1.711
Ni -4.972 -3.472 2.717
```

spin magnetization: 0.000 μB/atom
symmetry: Fmmm


<x>
DFT (GGA-PBE) results for a relaxed TmSi2Ni10 crystal.

```
26
Lattice="8.154 0.000 0.000 0.000 8.154 0.000 0.000 0.000 4.669" Properties=species:S:1:pos:R:3 pbc="T T T"
Tm 0.000 4.077 1.032
Tm 4.077 0.000 3.637
Si 6.116 6.116 2.335
Si 2.039 6.116 2.335
Si 6.116 2.039 2.335
Si 2.039 2.039 2.335
Ni 6.116 2.039 0.000
Ni 6.116 6.116 0.000
Ni 2.039 2.039 0.000
Ni 2.039 6.116 0.000
Ni 2.874 4.077 1.119
Ni 0.000 1.203 1.119
Ni 0.000 6.951 1.119
Ni 5.280 4.077 1.119
Ni 1.203 0.000 3.551
Ni 6.951 0.000 3.551
Ni 4.077 2.874 3.551
Ni 4.077 5.280 3.551
Ni 6.345 4.077 3.403
Ni 0.000 5.886 3.403
Ni 0.000 2.268 3.403
Ni 1.809 4.077 3.403
Ni 5.886 0.000 1.266
Ni 2.268 0.000 1.266
Ni 4.077 6.345 1.266
Ni 4.077 1.809 1.266
```

spin magnetization: 0.000 μB/atom
symmetry: P4/nmm


Which structure is the most stable? The one labeled <x>.


<w>
DFT (GGA-PBE) results for a relaxed YTmSiNi crystal.

```
4
Lattice="4.854 0.000 0.000 2.427 4.204 0.000 2.427 1.401 3.963" Properties=species:S:1:pos:R:3 pbc="T T T"
Y 4.854 2.802 1.982
Ni 7.281 4.204 2.972
Si 2.427 1.401 0.991
Tm 0.000 0.000 0.000
```

spin magnetization: 0.000 μB/atom
symmetry: F-43m


<x>
DFT (GGA-PBE) results for a relaxed YTmSiNi crystal.

```
4
Lattice="-2.285 0.297 -3.223 -3.279 -0.023 2.323 1.345 5.089 1.950" Properties=species:S:1:pos:R:3 pbc="T T T"
Y 0.058 1.491 0.096
Tm -2.636 3.908 -0.206
Si -2.755 0.834 -0.405
Ni 0.175 4.516 0.292
```

spin magnetization: 0.000 μB/atom
symmetry: Amm2


Which structure is the most stable? The one labeled <x>.


<w>
DFT (GGA-PBE) results for a relaxed VSi2Ni4 crystal.

```
7
Lattice="-0.183 2.825 -1.869 -2.766 -1.205 -1.551 -3.206 2.637 7.379" Properties=species:S:1:pos:R:3 pbc="T T T"
V 0.000 0.000 0.000
Si -2.773 1.767 -0.137
Si -3.381 2.491 4.096
Ni -1.293 0.953 1.566
Ni -4.861 3.305 2.393
Ni -2.431 3.136 1.900
Ni -3.723 1.121 2.059
```

spin magnetization: 0.311 μB/atom
symmetry: I4/mmm


<x>
DFT (GGA-PBE) results for a relaxed VSi2Ni4 crystal.

```
14
Lattice="-0.948 2.606 2.345 4.363 -2.543 4.590 4.935 4.015 -2.466" Properties=species:S:1:pos:R:3 pbc="T T T"
V -0.474 1.303 1.173
V 4.649 0.736 1.062
Si 4.809 2.578 -0.920
Si 4.488 -1.105 3.043
Si 6.213 2.362 2.700
Si 2.136 1.717 1.769
Ni 2.046 1.135 -0.433
Ni 7.251 0.338 2.556
Ni 3.131 3.248 0.469
Ni 5.218 0.831 3.999
Ni 5.461 3.617 1.001
Ni 2.888 0.462 3.467
Ni 1.903 -0.509 1.335
Ni 7.394 1.982 0.788
```

spin magnetization: 0.340 μB/atom
symmetry: P4_2/mnm


<y>
DFT (GGA-PBE) results for a relaxed VSi2Ni4 crystal.

```
7
Lattice="4.298 0.000 0.000 0.000 4.298 0.000 2.149 2.149 5.762" Properties=species:S:1:pos:R:3 pbc="T T T"
Ni 2.149 2.149 3.483
Ni 4.298 4.298 2.279
Ni 0.000 2.149 0.000
Ni 2.149 0.000 0.000
Si 2.149 2.149 1.241
Si 4.298 4.298 4.521
V 0.000 0.000 0.000
```

spin magnetization: 0.122 μB/atom
symmetry: I4/mmm


Which structure is the most stable? The one labeled <x>.


<w>
DFT (GGA-PBE) results for a relaxed VSiNi5 crystal.

```
14
Lattice="-0.756 4.260 -2.159 -3.104 -0.558 -3.666 -8.106 3.556 1.264" Properties=species:S:1:pos:R:3 pbc="T T T"
V -3.588 3.497 -2.360
V -8.378 3.762 -2.201
Si 0.000 0.000 0.000
Si -4.053 1.778 0.632
Ni -5.260 2.891 -4.144
Ni -5.597 2.615 -1.661
Ni -8.606 6.119 -3.059
Ni -4.933 0.736 -3.223
Ni -2.778 1.919 -3.829
Ni -9.188 5.340 -0.732
Ni -7.033 6.522 -1.338
Ni -3.360 1.139 -1.502
Ni -6.369 4.644 -2.900
Ni -6.706 4.367 -0.417
```

spin magnetization: 0.000 μB/atom
symmetry: C2/c


<x>
DFT (GGA-PBE) results for a relaxed VSiNi5 crystal.

```
7
Lattice="-0.744 2.783 2.193 -3.041 0.648 -1.855 -3.169 -3.874 3.841" Properties=species:S:1:pos:R:3 pbc="T T T"
V -1.584 -1.937 1.920
Si -1.893 1.716 0.169
Ni -3.986 -2.690 2.062
Ni -2.223 -0.535 -0.075
Ni -2.838 -1.623 4.085
Ni -1.075 0.532 1.948
Ni -3.477 -0.221 2.090
```

spin magnetization: 0.138 μB/atom
symmetry: P4/mmm


Which structure is the most stable? The one labeled <x>.


<w>
DFT (GGA-PBE) results for a relaxed VSiNi4 crystal.

```
12
Lattice="-2.557 1.270 2.297 -1.056 -3.424 0.718 8.369 -1.112 7.010" Properties=species:S:1:pos:R:3 pbc="T T T"
V 2.343 -1.356 6.282
V 2.413 -1.910 3.743
Si -0.356 0.573 2.210
Si 6.168 -0.415 7.097
Ni -0.002 -1.198 3.583
Ni 4.758 -2.067 6.441
Ni 1.703 0.435 4.579
Ni 4.109 -0.276 4.728
Ni 4.016 0.279 7.240
Ni 1.797 -0.121 2.067
Ni 0.000 0.000 0.000
Ni -1.807 -1.077 1.507
```

spin magnetization: 0.157 μB/atom
symmetry: Cmmm


<x>
DFT (GGA-PBE) results for a relaxed VSiNi4 crystal.

```
6
Lattice="3.798 0.000 -0.002 0.000 3.799 -0.002 0.002 0.003 5.433" Properties=species:S:1:pos:R:3 pbc="T T T"
V 1.906 1.893 5.421
Si 0.006 3.790 2.704
Ni 1.905 3.789 1.402
Ni 1.906 3.791 4.004
Ni 0.007 1.891 4.006
Ni 0.006 1.890 1.404
```

spin magnetization: 0.000 μB/atom
symmetry: P4/mmm


Which structure is the most stable? The one labeled <w>.


<w>
DFT (GGA-PBE) results for a relaxed Si3NiW crystal.

```
5
Lattice="4.288 0.000 0.000 0.000 4.288 0.000 0.000 0.000 4.288" Properties=species:S:1:pos:R:3 pbc="T T T"
Ni 0.000 0.000 0.000
Si 0.000 2.144 0.000
Si 0.000 0.000 2.144
Si 2.144 0.000 0.000
W 2.144 2.144 2.144
```

spin magnetization: 0.175 μB/atom
symmetry: Pm-3m


<x>
DFT (GGA-PBE) results for a relaxed Si3NiW crystal.

```
5
Lattice="-1.569 3.739 2.397 -4.004 -0.090 -2.481 -1.923 -2.864 3.208" Properties=species:S:1:pos:R:3 pbc="T T T"
Ni -3.748 0.393 1.562
Si -2.002 -0.045 -1.240
Si -0.962 -1.432 1.604
Si -0.785 1.870 1.199
W 0.000 0.000 0.000
```

spin magnetization: 0.055 μB/atom
symmetry: Pm-3m


Which structure is the most stable? The one labeled <w>.


<w>
DFT (GGA-PBE) results for a relaxed SiNi3W crystal.

```
5
Lattice="-0.004 -3.362 -2.359 -1.596 -2.172 3.099 -3.784 0.920 -1.304" Properties=species:S:1:pos:R:3 pbc="T T T"
Ni -0.798 -1.086 1.549
Ni -1.892 0.460 -0.652
Ni -0.002 -1.681 -1.180
Si 0.000 0.000 0.000
W -2.692 -2.307 -0.282
```

spin magnetization: 0.175 μB/atom
symmetry: Pm-3m


<x>
DFT (GGA-PBE) results for a relaxed SiNi3W crystal.

```
5
Lattice="-0.525 0.605 4.447 2.550 -3.645 0.797 3.694 2.602 0.082" Properties=species:S:1:pos:R:3 pbc="T T T"
Ni 1.275 -1.822 0.399
Ni 1.847 1.301 0.041
Ni -0.262 0.303 2.224
Si 2.859 -0.219 2.663
W 0.000 0.000 0.000
```

spin magnetization: 0.000 μB/atom
symmetry: Pm-3m


Which structure is the most stable? The one labeled <w>.


<w>
DFT (GGA-PBE) results for a relaxed YSi2NiW crystal.

```
5
Lattice="-1.302 -4.055 -2.856 -1.773 -2.317 4.098 -4.619 2.067 -0.829" Properties=species:S:1:pos:R:3 pbc="T T T"
Y 0.000 0.000 0.000
Ni -3.847 -2.153 0.206
Si -2.310 1.034 -0.415
Si -0.651 -2.028 -1.428
W -0.886 -1.159 2.049
```

spin magnetization: 0.251 μB/atom
symmetry: P4/mmm


<x>
DFT (GGA-PBE) results for a relaxed YSi2NiW crystal.

```
5
Lattice="-0.749 4.513 1.872 -3.693 0.409 -2.462 -2.664 -1.965 3.671" Properties=species:S:1:pos:R:3 pbc="T T T"
Y 0.000 0.000 0.000
Ni -1.847 0.204 -1.231
Si -1.332 -0.982 1.835
Si -0.374 2.257 0.936
W -3.553 1.478 1.540
```

spin magnetization: 0.050 μB/atom
symmetry: P4/mmm


Which structure is the most stable? The one labeled <x>.


<w>
DFT (GGA-PBE) results for a relaxed YSi3Ni5 crystal.

```
36
Lattice="3.788 0.000 0.000 0.000 6.657 0.000 0.000 0.000 18.729" Properties=species:S:1:pos:R:3 pbc="T T T"
Y 0.947 4.146 12.043
Y 2.841 2.511 6.687
Y 2.841 0.818 16.051
Y 0.947 5.839 2.678
Si 0.947 5.615 17.349
Si 2.841 1.042 1.381
Si 2.841 2.286 10.745
Si 0.947 4.371 7.984
Si 2.841 4.130 14.274
Si 0.947 2.527 4.456
Si 0.947 2.801 17.111
Si 2.841 3.856 1.619
Si 2.841 6.129 10.983
Si 0.947 0.528 7.746
Si 0.947 0.801 13.820
Si 2.841 5.856 4.909
Ni 0.947 0.897 18.621
Ni 2.841 2.569 18.437
Ni 2.841 0.759 9.072
Ni 0.947 4.088 0.293
Ni 0.947 2.361 2.161
Ni 2.841 4.296 16.568
Ni 2.841 5.690 7.204
Ni 0.947 0.967 11.526
Ni 0.947 0.466 5.484
Ni 2.841 6.191 13.245
Ni 2.841 3.794 3.880
Ni 0.947 2.863 14.849
Ni 2.841 4.225 9.473
Ni 0.947 2.432 9.257
Ni 0.947 5.412 14.996
Ni 2.841 1.244 3.733
Ni 2.841 2.084 13.098
Ni 0.947 4.573 5.631
Ni 0.947 5.898 9.657
Ni 2.841 5.760 0.108
```

spin magnetization: 0.000 μB/atom
symmetry: Pnma


<x>
DFT (GGA-PBE) results for a relaxed YSi3Ni5 crystal.

```
18
Lattice="3.662 0.000 0.000 -1.831 5.843 0.000 0.000 0.000 11.555" Properties=species:S:1:pos:R:3 pbc="T T T"
Y 1.831 3.985 8.666
Y 0.000 1.859 2.889
Si 0.000 4.479 11.087
Si 1.831 4.516 2.889
Si 0.000 4.479 6.246
Si 1.831 1.365 5.309
Si 0.000 1.327 8.666
Si 1.831 1.365 0.468
Ni 1.831 3.539 4.991
Ni 0.000 2.305 10.768
Ni 0.000 0.000 5.778
Ni 0.000 0.000 0.000
Ni 0.000 5.249 1.682
Ni 1.831 0.595 9.873
Ni 1.831 0.595 7.460
Ni 1.831 3.539 0.787
Ni 0.000 2.305 6.564
Ni 0.000 5.249 4.095
```

spin magnetization: 0.000 μB/atom
symmetry: Cmcm


Which structure is the most stable? The one labeled <w>.